! Rb2Pd2Pb3 PBE optimized geometry; values from VASP
&SYSTEM
  ibrav = 0, nat = 7, ntyp = 3
/
ATOMIC_SPECIES
Rb 85.47 Rb.upf
Pb 207.20 Pb.upf
Pd 106.42 Pd.upf
CELL_PARAMETERS angstrom
-0.312 3.091 3.401
-2.606 2.780 -5.885
-4.390 -5.949 5.005
ATOMIC_POSITIONS crystal
Rb 0.143 0.286 0.775
Rb 0.857 0.714 0.225
Pb 0.646 0.292 0.449
Pb 0.354 0.708 0.551
Pb 0.500 0.000 0.000
Pd 0.111 0.223 0.206
Pd 0.889 0.777 0.794
! Formation enthalpy at 0 K: -0.222 eV per atom
! Spin magnetization: 0.0 μB/f.u.
! Symmetry: C2/m, No. 12
! DFT total energy: -3.57 eV/atom

---

! SbRh2W PBE optimized geometry; values from VASP
&SYSTEM
  ibrav = 0, nat = 4, ntyp = 3
/
ATOMIC_SPECIES
Rh 102.91 Rh.upf
Sb 121.76 Sb.upf
W 183.84 W.upf
CELL_PARAMETERS angstrom
0.000 3.187 3.187
3.187 0.000 3.187
3.187 3.187 0.000
ATOMIC_POSITIONS crystal
Rh 0.750 0.750 0.750
Rh 0.000 0.000 0.000
Sb 0.500 0.500 0.500
W 0.250 0.250 0.250
! E_form (uncorrected): 119.7 meV per atom
! Spin magnetization: 0.0 μB/f.u.
! Symmetry: F-43m, No. 216
! DFT total energy: -7.82 eV/atom

---

! Li7Ca3Cd2 PBE optimized geometry; values from VASP
&SYSTEM
  ibrav = 0, nat = 12, ntyp = 3
/
ATOMIC_SPECIES
Li 6.94 Li.upf
Ca 40.08 Ca.upf
Cd 112.41 Cd.upf
CELL_PARAMETERS angstrom
-0.390 4.933 3.258
-5.294 1.932 1.828
-1.018 -3.035 9.860
ATOMIC_POSITIONS crystal
Li 0.420 0.420 0.238
Li 0.078 0.580 0.762
Li 0.580 0.078 0.762
Li 0.580 0.580 0.762
Li 0.420 0.922 0.238
Li 0.500 0.500 0.500
Li 0.922 0.420 0.238
Ca 0.859 0.859 0.423
Ca 0.000 0.000 0.000
Ca 0.141 0.141 0.577
Cd 0.667 0.667 0.000
Cd 0.333 0.333 0.000
! Formation enthalpy at 0 K: -0.113 eV per atom
! Spin magnetization: 0.0 μB/f.u.
! Energy above the most stable polymorph in this dataset: 0.000 eV/atom
! Symmetry: R-3m, No. 166
! DFT total energy: -1.88 eV/atom

---

- spin magnetization of number 2 (SbRh2W)?
  0.0 μB/f.u.